(1)
Entry from the Alexandria database: a relaxed structure of Li2YMo (GGA-PBE).

Cell lengths 2.939, 2.939, 9.294 Å; angles 90.00, 90.00, 90.76 degrees
Sites, in units of the cell vectors:
Y  0.500  0.500  0.728
Li  0.000  0.000  0.027
Mo  0.000  0.000  0.480
Li  0.500  0.500  0.265

ΔE_f: 38.3 kJ per mole of atoms
crystal system: orthorhombic
magnetic moment: 0.000 Bohr magnetons per cell



(2)
Entry from the Alexandria database: a relaxed structure of Li2Y2Mo (GGA-PBE).

Cell lengths 3.535, 3.535, 9.776 Å; angles 79.58, 79.58, 90.00 degrees
Sites, in units of the cell vectors:
Li  0.250  0.750  0.500
Li  0.750  0.250  0.500
Y  0.591  0.591  0.819
Y  0.409  0.409  0.181
Mo  0.000  0.000  0.000

ΔE_f: 30.3 kJ per mole of atoms
crystal system: tetragonal
magnetic moment: 0.000 Bohr magnetons per cell



(3)
Entry from the Alexandria database: a relaxed structure of LiY3Mo (GGA-PBE).

Cell lengths 5.435, 5.435, 5.435 Å; angles 90.00, 90.00, 90.00 degrees
Sites, in units of the cell vectors:
Li  0.500  0.500  0.500
Y  0.000  0.000  0.500
Y  0.000  0.500  0.000
Y  0.500  0.000  0.000
Mo  0.000  0.000  0.000

ΔE_f: 43.0 kJ per mole of atoms
crystal system: cubic
magnetic moment: 0.000 Bohr magnetons per cell



(4)
Entry from the Alexandria database: a relaxed structure of Li2YMo (GGA-PBE).

Cell lengths 5.494, 5.494, 5.494 Å; angles 135.70, 135.70, 64.45 degrees
Site moments in Bohr magnetons follow the coordinates.
Sites, in units of the cell vectors:
Li  0.500  0.500  0.000  0.00
Li  0.000  0.000  0.000  0.00
Mo  0.250  0.750  0.500  1.68
Y  0.750  0.250  0.500  0.03

ΔE_f: 53.5 kJ per mole of atoms
crystal system: tetragonal
magnetic moment: 2.051 Bohr magnetons per cell



(5)
Entry from the Alexandria database: a relaxed structure of Li2YMo (GGA-PBE).

Cell lengths 4.509, 4.136, 4.136 Å; angles 90.00, 90.00, 90.00 degrees
Site moments in Bohr magnetons follow the coordinates.
Sites, in units of the cell vectors:
Mo  0.500  0.500  0.000  0.79
Li  0.000  0.500  0.500  -0.01
Y  0.500  0.000  0.500  0.02
Li  0.000  0.000  0.000  -0.01

ΔE_f: 54.5 kJ per mole of atoms
crystal system: tetragonal
magnetic moment: 0.875 Bohr magnetons per cell



(6)
Entry from the Alexandria database: a relaxed structure of Li2YMo (GGA-PBE).

Cell lengths 10.795, 10.795, 10.795 Å; angles 15.67, 15.67, 15.67 degrees
Site moments in Bohr magnetons follow the coordinates.
Sites, in units of the cell vectors:
Y  0.750  0.750  0.750  0.01
Li  0.508  0.508  0.508  0.00
Li  0.992  0.992  0.992  0.00
Mo  0.250  0.250  0.250  0.26

ΔE_f: 59.7 kJ per mole of atoms
crystal system: trigonal
magnetic moment: 0.357 Bohr magnetons per cell



(7)
Entry from the Alexandria database: a relaxed structure of Li2YMo (GGA-PBE).

Cell lengths 2.826, 4.728, 5.723 Å; angles 90.00, 90.00, 90.00 degrees
Site moments in Bohr magnetons follow the coordinates.
Sites, in units of the cell vectors:
Li  0.000  0.000  0.459  0.00
Li  0.000  0.000  0.041  0.00
Mo  0.500  0.500  0.250  0.14
Y  0.500  0.500  0.750  0.01

ΔE_f: 54.8 kJ per mole of atoms
crystal system: orthorhombic
magnetic moment: 0.195 Bohr magnetons per cell



(8)
Entry from the Alexandria database: a relaxed structure of Li2YMo (GGA-PBE).

Cell lengths 3.944, 3.944, 11.281 Å; angles 79.93, 79.93, 90.00 degrees
Sites, in units of the cell vectors:
Li  0.084  0.125  0.250
Y  0.500  0.500  0.000
Mo  0.000  0.000  0.000
Li  0.375  0.916  0.750
Y  0.250  0.750  0.500
Li  0.666  0.625  0.250
Li  0.875  0.334  0.750
Mo  0.750  0.250  0.500

ΔE_f: 68.6 kJ per mole of atoms
crystal system: tetragonal
magnetic moment: 0.001 Bohr magnetons per cell



(9)
Entry from the Alexandria database: a relaxed structure of Li2YMo (GGA-PBE).

Cell lengths 6.167, 6.167, 6.167 Å; angles 151.04, 133.67, 55.57 degrees
Site moments in Bohr magnetons follow the coordinates.
Sites, in units of the cell vectors:
Li  0.522  0.522  0.000  0.00
Mo  0.750  0.250  0.500  0.45
Li  0.978  0.978  0.000  0.00
Y  0.250  0.750  0.500  0.03

ΔE_f: 43.8 kJ per mole of atoms
crystal system: orthorhombic
magnetic moment: 0.510 Bohr magnetons per cell



(10)
Entry from the Alexandria database: a relaxed structure of Li2YMo (GGA-PBE).

Cell lengths 3.218, 4.635, 5.385 Å; angles 90.00, 90.00, 90.00 degrees
Sites, in units of the cell vectors:
Mo  0.500  0.000  0.500
Y  0.000  0.500  0.500
Li  0.500  0.500  0.000
Li  0.000  0.000  0.000

ΔE_f: 48.3 kJ per mole of atoms
crystal system: orthorhombic
magnetic moment: 0.001 Bohr magnetons per cell



(11)
Entry from the Alexandria database: a relaxed structure of Li2YMo (GGA-PBE).

Cell lengths 3.015, 3.622, 7.366 Å; angles 90.00, 90.00, 90.00 degrees
Sites, in units of the cell vectors:
Y  0.500  0.500  0.716
Li  0.500  0.500  0.258
Mo  0.000  0.000  0.465
Li  0.000  0.000  0.060

ΔE_f: 43.9 kJ per mole of atoms
crystal system: orthorhombic
magnetic moment: 0.000 Bohr magnetons per cell



(12)
Entry from the Alexandria database: a relaxed structure of Li2YMo (GGA-PBE).

Cell lengths 4.683, 4.683, 4.683 Å; angles 60.00, 60.00, 60.00 degrees
Sites, in units of the cell vectors:
Mo  0.500  0.500  0.500
Li  0.750  0.750  0.750
Li  0.250  0.250  0.250
Y  0.000  0.000  0.000

ΔE_f: 56.9 kJ per mole of atoms
crystal system: cubic
magnetic moment: 0.000 Bohr magnetons per cell